(1)
NdAgAs2 | GGA-PBE | optimized geometry

Cell and atoms, written as CIF:
```
data_NdAgAs2
_chemical_formula_sum 'Nd4 Ag4 As8'
_cell_length_a 21.246
_cell_length_b 4.071
_cell_length_c 4.096
_cell_angle_alpha 90.00
_cell_angle_beta 90.00
_cell_angle_gamma 90.00
_space_group_name_H-M_alt 'P n m a'
_space_group_IT_number 62
loop_
_space_group_symop_operation_xyz
'x,y,z'
'-x,-y,-z'
'-x+1/2,-y,z+1/2'
'x+1/2,y,-z+1/2'
'x+1/2,-y+1/2,-z+1/2'
'-x+1/2,y+1/2,z+1/2'
'-x,y+1/2,-z'
'x,-y+1/2,z'
loop_
_atom_site_label
_atom_site_type_symbol
_atom_site_fract_x
_atom_site_fract_y
_atom_site_fract_z
Nd1 Nd 0.115 0.250 0.228
Ag1 Ag 0.250 0.250 0.726
As1 As 0.002 0.250 0.704
As2 As 0.161 0.750 0.727
```

Summary:
total magnetic moment: 0.00 μB/f.u.
calculated formation energy: -0.77 eV per atom
theoretical density: 7.54 g/cm3


(2)
Nd2AgAs | GGA-PBE | optimized geometry

Cell and atoms, written as CIF:
```
data_Nd2AgAs
_chemical_formula_sum 'Nd6 Ag3 As3'
_cell_length_a 4.1845
_cell_length_b 4.1845
_cell_length_c 22.7129
_cell_angle_alpha 90.00
_cell_angle_beta 90.00
_cell_angle_gamma 120.00
_space_group_name_H-M_alt 'R 3 m'
_space_group_IT_number 160
_space_group_name_Hall 'R 3 -2"'
loop_
_atom_site_label
_atom_site_type_symbol
_atom_site_fract_x
_atom_site_fract_y
_atom_site_fract_z
Nd1 Nd 0.0000 0.0000 0.0000
Nd2 Nd 0.0000 0.0000 0.1834
Ag1 Ag 0.0000 0.0000 0.4249
As1 As 0.0000 0.0000 0.5912
```

Summary:
total magnetic moment: 0.00 μB/f.u.
calculated formation energy: -0.77 eV per atom
theoretical density: 6.82 g/cm3


(3)
NdAgAs2 | GGA-PBE | optimized geometry

Cell and atoms, written as CIF:
```
data_NdAgAs2
_chemical_formula_sum 'Nd2 Ag2 As4'
_cell_length_a 4.076
_cell_length_b 4.076
_cell_length_c 10.587
_cell_angle_alpha 90.00
_cell_angle_beta 90.00
_cell_angle_gamma 90.00
_space_group_name_H-M_alt 'P 4/n m m'
_space_group_IT_number 129
loop_
_space_group_symop_operation_xyz
'x,y,z'
'-x,-y,-z'
'-y+1/2,x,z'
'y+1/2,-x,-z'
'-x+1/2,-y+1/2,z'
'x+1/2,y+1/2,-z'
'y,-x+1/2,z'
'-y,x+1/2,-z'
'x+1/2,-y,-z'
'-x+1/2,y,z'
'-y,-x,-z'
'y,x,z'
'-x,y+1/2,-z'
'x,-y+1/2,z'
'y+1/2,x+1/2,-z'
'-y+1/2,-x+1/2,z'
loop_
_atom_site_label
_atom_site_type_symbol
_atom_site_fract_x
_atom_site_fract_y
_atom_site_fract_z
Nd1 Nd 0.250 0.250 0.228
Ag1 Ag 0.250 0.750 0.500
As1 As 0.250 0.250 0.678
As2 As 0.250 0.750 0.000
```

Summary:
total magnetic moment: 0.00 μB/f.u.
calculated formation energy: -0.77 eV per atom
theoretical density: 7.59 g/cm3


(4)
Nd2AgAs | GGA-PBE | optimized geometry

Cell and atoms, written as CIF:
```
data_Nd2AgAs
_chemical_formula_sum 'Nd6 Ag3 As3'
_cell_length_a 4.2819
_cell_length_b 4.2819
_cell_length_c 21.8736
_cell_angle_alpha 90.00
_cell_angle_beta 90.00
_cell_angle_gamma 120.00
_space_group_name_H-M_alt 'R -3 m'
_space_group_IT_number 166
_space_group_name_Hall '-R 3 2"'
loop_
_atom_site_label
_atom_site_type_symbol
_atom_site_fract_x
_atom_site_fract_y
_atom_site_fract_z
Nd1 Nd 0.0000 0.0000 0.2412
Ag1 Ag 0.0000 0.0000 0.0000
As1 As 0.0000 0.0000 0.5000
```

Summary:
total magnetic moment: 0.00 μB/f.u.
calculated formation energy: -0.76 eV per atom
theoretical density: 6.76 g/cm3


(5)
Nd2Ni3AgAs4 | GGA-PBE | optimized geometry

Cell and atoms, written as CIF:
```
data_Nd2Ni3AgAs4
_chemical_formula_sum 'Nd2 Ni3 Ag1 As4'
_cell_length_a 4.287
_cell_length_b 4.287
_cell_length_c 9.777
_cell_angle_alpha 90.00
_cell_angle_beta 90.00
_cell_angle_gamma 90.00
_space_group_name_H-M_alt 'P -4 m 2'
_space_group_IT_number 115
loop_
_space_group_symop_operation_xyz
'x,y,z'
'y,-x,-z'
'-x,-y,z'
'-y,x,-z'
'-x,y,z'
'-y,-x,-z'
'x,-y,z'
'y,x,-z'
loop_
_atom_site_label
_atom_site_type_symbol
_atom_site_fract_x
_atom_site_fract_y
_atom_site_fract_z
Nd1 Nd 0.000 0.500 0.241
Ni1 Ni 0.000 0.500 0.889
Ni2 Ni 0.500 0.500 0.500
Ag1 Ag 0.000 0.000 0.500
As1 As 0.000 0.000 0.000
As2 As 0.000 0.500 0.647
As3 As 0.500 0.500 0.000
```

Summary:
total magnetic moment: 0.00 μB/f.u.
calculated formation energy: -0.72 eV per atom
theoretical density: 8.06 g/cm3


(6)
NdAg2AsO4 | GGA-PBE | optimized geometry

Cell and atoms, written as CIF:
```
data_NdAg2AsO4
_chemical_formula_sum 'Nd2 Ag4 As2 O8'
_cell_length_a 5.937
_cell_length_b 5.937
_cell_length_c 8.824
_cell_angle_alpha 90.00
_cell_angle_beta 90.00
_cell_angle_gamma 90.00
_space_group_name_H-M_alt 'I -4'
_space_group_IT_number 82
loop_
_space_group_symop_operation_xyz
'x,y,z'
'y,-x,-z'
'-x,-y,z'
'-y,x,-z'
'x+1/2,y+1/2,z+1/2'
'y+1/2,-x+1/2,-z+1/2'
'-x+1/2,-y+1/2,z+1/2'
'-y+1/2,x+1/2,-z+1/2'
loop_
_atom_site_label
_atom_site_type_symbol
_atom_site_fract_x
_atom_site_fract_y
_atom_site_fract_z
Nd1 Nd 0.000 0.000 0.000
Ag1 Ag 0.000 0.000 0.500
Ag2 Ag 0.000 0.500 0.750
As1 As 0.000 0.500 0.250
O1 O 0.126 0.699 0.136
```

Summary:
total magnetic moment: 0.00 μB/f.u.
formation energy (no corrections): -1.17 eV per atom
theoretical density: 5.33 g/cm3


(7)
Nd2AgAs4Pd3 | GGA-PBE | optimized geometry

Cell and atoms, written as CIF:
```
data_Nd2AgAs4Pd3
_chemical_formula_sum 'Nd2 Ag1 As4 Pd3'
_cell_length_a 4.440
_cell_length_b 4.440
_cell_length_c 10.211
_cell_angle_alpha 90.00
_cell_angle_beta 90.00
_cell_angle_gamma 90.00
_space_group_name_H-M_alt 'P -4 m 2'
_space_group_IT_number 115
loop_
_space_group_symop_operation_xyz
'x,y,z'
'y,-x,-z'
'-x,-y,z'
'-y,x,-z'
'-x,y,z'
'-y,-x,-z'
'x,-y,z'
'y,x,-z'
loop_
_atom_site_label
_atom_site_type_symbol
_atom_site_fract_x
_atom_site_fract_y
_atom_site_fract_z
Nd1 Nd 0.000 0.500 0.242
Ag1 Ag 0.000 0.000 0.500
As1 As 0.000 0.000 0.000
As2 As 0.000 0.500 0.639
As3 As 0.500 0.500 0.000
Pd1 Pd 0.000 0.500 0.880
Pd2 Pd 0.500 0.500 0.500
```

Summary:
total magnetic moment: 0.00 μB/f.u.
calculated formation energy: -0.76 eV per atom
theoretical density: 8.37 g/cm3


(8)
Nd2AgAs3Pt4 | GGA-PBE | optimized geometry

Cell and atoms, written as CIF:
```
data_Nd2AgAs3Pt4
_chemical_formula_sum 'Nd2 Ag1 As3 Pt4'
_cell_length_a 4.349
_cell_length_b 4.349
_cell_length_c 10.580
_cell_angle_alpha 90.00
_cell_angle_beta 90.00
_cell_angle_gamma 90.00
_space_group_name_H-M_alt 'P -4 m 2'
_space_group_IT_number 115
loop_
_space_group_symop_operation_xyz
'x,y,z'
'y,-x,-z'
'-x,-y,z'
'-y,x,-z'
'-x,y,z'
'-y,-x,-z'
'x,-y,z'
'y,x,-z'
loop_
_atom_site_label
_atom_site_type_symbol
_atom_site_fract_x
_atom_site_fract_y
_atom_site_fract_z
Nd1 Nd 0.000 0.500 0.241
Ag1 Ag 0.000 0.000 0.500
As1 As 0.000 0.500 0.871
As2 As 0.500 0.500 0.500
Pt1 Pt 0.000 0.000 0.000
Pt2 Pt 0.000 0.500 0.644
Pt3 Pt 0.500 0.500 0.000
```

Summary:
total magnetic moment: 0.00 μB/f.u.
calculated formation energy: -0.76 eV per atom
theoretical density: 11.63 g/cm3